Record 1
Density functional theory data (PBE-GGA) for crystalline Cr3CoP at its relaxed geometry. Values from VASP.

```
&SYSTEM
  ibrav = 0, nat = 5, ntyp = 3
/
ATOMIC_SPECIES
Cr 52.00 Cr.upf
Co 58.93 Co.upf
P 30.97 P.upf
ATOMIC_POSITIONS angstrom
Cr 0.4496 -2.0322 0.2263
Cr 0.7316 -0.0565 -1.9608
Cr -1.9094 -0.5002 -0.6981
Co -0.7282 -2.5888 -2.4326
P 0.0000 0.0000 0.0000
CELL_PARAMETERS angstrom
-3.8188 -1.0003 -1.3961
1.4633 -0.1129 -3.9217
0.8992 -4.0645 0.4525
```

Properties
The energy relative to the lowest polymorph listed for this composition is 0.000 eV per formula unit. The raw total energy comes out at -7.452 eV per atom. As for the space group: Pm-3m. The value obtained for the density of states at the Fermi level is 1.59 states/eV/atom. The calculation puts the size of the total moment at 4.964 μB/f.u. The calculation puts the energy of formation at 0.825 eV per atom.

=====

Record 2
Density functional theory data (PBE-GGA) for crystalline CrCoP4 at its relaxed geometry. Values from VASP.

```
&SYSTEM
  ibrav = 0, nat = 6, ntyp = 3
/
ATOMIC_SPECIES
P 30.97 P.upf
Cr 52.00 Cr.upf
Co 58.93 Co.upf
ATOMIC_POSITIONS angstrom
P 2.6117 2.6117 4.3211
P 4.3211 2.6117 2.6117
P 2.6117 4.3211 2.6117
P 4.3211 4.3211 4.3211
Cr 0.0000 0.0000 0.0000
Co 1.7332 1.7332 1.7332
CELL_PARAMETERS angstrom
0.0000 3.4664 3.4664
3.4664 0.0000 3.4664
3.4664 3.4664 0.0000
```

Properties
The raw total energy comes out at -5.632 eV per atom. As for the space group: F-43m. The value obtained for the density of states at the Fermi level is 1.15 states/eV/atom. The calculation puts the size of the total moment at 4.644 μB/f.u. The calculation puts the energy of formation at 0.763 eV per atom.

=====

Record 3
Density functional theory data (PBE-GGA) for crystalline CrCoP at its relaxed geometry. Values from VASP.

```
&SYSTEM
  ibrav = 0, nat = 3, ntyp = 3
/
ATOMIC_SPECIES
Cr 52.00 Cr.upf
Co 58.93 Co.upf
P 30.97 P.upf
ATOMIC_POSITIONS angstrom
Cr 0.6964 0.4259 2.2256
Co 1.1737 1.9392 0.1918
P 2.8988 0.8202 0.9424
CELL_PARAMETERS angstrom
-1.2716 0.4187 3.5472
3.2240 -1.8872 -0.6477
1.4083 2.3268 0.2302
```

Properties
The raw total energy comes out at -7.689 eV per atom. As for the space group: P-6m2. The value obtained for the density of states at the Fermi level is 0.94 states/eV/atom. The calculation puts the size of the total moment at 2.169 μB/f.u. The calculation puts the energy of formation at -0.310 eV per atom.

=====

Question: Among the records above, which one has the highest size of the total moment?
Answer: Cr3CoP